Density functional theory data (PBE) for a geometry-optimized Pu2InNi3As4 structure.

## Properties
Energy of formation, eV/atom: -0.472
Space group: P-4m2, No. 115
Total magnetic moment, μB per cell: 10.928

Structure (CIF):
```
data_Pu2InNi3As4
_symmetry_space_group_name_H-M 'P 1'
_symmetry_Int_Tables_number 1
_cell_length_a 4.2427
_cell_length_b 4.2427
_cell_length_c 10.1012
_cell_angle_alpha 90.00
_cell_angle_beta 90.00
_cell_angle_gamma 90.00
loop_
_symmetry_equiv_pos_as_xyz
'x,y,z'
loop_
_atom_site_label
_atom_site_fract_x
_atom_site_fract_y
_atom_site_fract_z
_atom_site_occupancy
Pu1 0.0000 0.5000 0.2262 1
Pu2 0.5000 0.0000 0.7738 1
In1 0.0000 0.0000 0.5000 1
Ni1 0.0000 0.5000 0.8942 1
Ni2 0.5000 0.0000 0.1058 1
Ni3 0.5000 0.5000 0.5000 1
As1 0.0000 0.0000 0.0000 1
As2 0.0000 0.5000 0.6648 1
As3 0.5000 0.0000 0.3352 1
As4 0.5000 0.5000 0.0000 1
```